No. 1
Entry from Alexandria via LeMat-Bulk: an optimized crystal structure of DyMnIrRh (PBE).

Its formation energy is -0.4173 eV per atom. The calculation puts the energy at -7.9134 eV/atom.

The structure belongs to space group F-43m (No. 216); the cell edges are 6.498, 6.498 and 6.498 Å and the angles 90.00°, 90.00° and 90.00°. The inequivalent atoms are Dy at (0.000, 0.000, 0.000), Mn at (0.000, 0.000, 0.500), Ir at (0.250, 0.250, 0.250) and Rh at (0.250, 0.250, 0.750).


No. 2
Entry from Alexandria via LeMat-Bulk: an optimized crystal structure of Dy2MnSi3Ir4 (PBE).

For the energy relative to the elements, uncorrected, the calculation gives -0.9275 eV/atom. The calculation puts the energy at -7.9362 eV/atom.

The structure belongs to space group P-4m2 (No. 115); the cell edges are 4.081, 4.081 and 10.174 Å and the angles 90.00°, 90.00° and 90.00°. The inequivalent atoms are Dy at (0.000, 0.500, 0.248), Mn at (0.000, 0.000, 0.500), Si at (0.000, 0.500, 0.872), Si at (0.500, 0.500, 0.500), Ir at (0.000, 0.000, 0.000), Ir at (0.000, 0.500, 0.638) and Ir at (0.500, 0.500, 0.000).


No. 3
Entry from Alexandria via LeMat-Bulk: an optimized crystal structure of TbDyMnIr (PBE).

Its formation energy is -0.2885 eV per atom. The calculation puts the energy at -7.1043 eV/atom.

The structure belongs to space group F-43m (No. 216); the cell edges are 6.957, 6.957 and 6.957 Å and the angles 90.00°, 90.00° and 90.00°. The inequivalent atoms are Tb at (0.000, 0.000, 0.000), Dy at (0.000, 0.000, 0.500), Mn at (0.250, 0.250, 0.750) and Ir at (0.250, 0.250, 0.250).


No. 4
Entry from Alexandria via LeMat-Bulk: an optimized crystal structure of DyTmMnIr (PBE).

Its formation energy is -0.3396 eV per atom. The calculation puts the energy at -7.1157 eV/atom.

The structure belongs to space group F-43m (No. 216); the cell edges are 6.896, 6.896 and 6.896 Å and the angles 90.00°, 90.00° and 90.00°. The inequivalent atoms are Dy at (0.000, 0.000, 0.000), Tm at (0.000, 0.000, 0.500), Mn at (0.250, 0.250, 0.750) and Ir at (0.250, 0.250, 0.250).


No. 5
Entry from Alexandria via LeMat-Bulk: an optimized crystal structure of DyMoIr (PBE).

Its formation energy is 0.0757 eV per atom. The calculation puts the energy at -8.0224 eV/atom.

The structure belongs to space group Pmmm (No. 47); the cell edges are 3.321, 3.985 and 4.955 Å and the angles 90.00°, 90.00° and 90.00°. The inequivalent atoms are Dy at (0.000, 0.000, 0.000), Mo at (0.000, 0.500, 0.500) and Ir at (0.500, 0.000, 0.500).


No. 6
Entry from Alexandria via LeMat-Bulk: an optimized crystal structure of Dy2IrN (PBE).

For the energy relative to the elements, uncorrected, the calculation gives -0.9436 eV/atom. The calculation puts the energy at -7.5412 eV/atom.

The structure belongs to space group R-3m (No. 166, hexagonal axes); the cell edges are 3.4455, 3.4455 and 21.0350 Å and the angles 90.00°, 90.00° and 120.00°. The inequivalent atoms are Dy at (0.0000, 0.0000, 0.2337), Ir at (0.0000, 0.0000, 0.0000) and N at (0.0000, 0.0000, 0.5000).


No. 7
Entry from Alexandria via LeMat-Bulk: an optimized crystal structure of Dy4Ir2N (PBE).

For the energy relative to the elements, uncorrected, the calculation gives -0.5094 eV/atom. The calculation puts the energy at -6.8602 eV/atom.

The structure belongs to space group I4/mmm (No. 139); the cell edges are 4.488, 4.488 and 15.836 Å and the angles 90.00°, 90.00° and 90.00°. The inequivalent atoms are Dy at (0.000, 0.000, 0.186), Dy at (0.000, 0.500, 0.000), Ir at (0.000, 0.000, 0.362) and N at (0.000, 0.000, 0.500).


No. 8
Entry from Alexandria via LeMat-Bulk: an optimized crystal structure of Dy12Ir3N5 (PBE).

For the energy relative to the elements, uncorrected, the calculation gives -1.0091 eV/atom. The calculation puts the energy at -7.1808 eV/atom.

The structure belongs to space group Ia-3d (No. 230); the cell edges are 15.177, 15.177 and 15.177 Å and the angles 90.00°, 90.00° and 90.00°. The inequivalent atoms are Dy at (0.030, 0.054, 0.651), Ir at (0.000, 0.250, 0.125), N at (0.000, 0.000, 0.000) and N at (0.000, 0.250, 0.375).


No. 9
Entry from Alexandria via LeMat-Bulk: an optimized crystal structure of DyIrN (PBE).

For the energy relative to the elements, uncorrected, the calculation gives 0.2196 eV/atom. The calculation puts the energy at -7.0432 eV/atom.

The structure belongs to space group Fmm2 (No. 42); the cell edges are 3.186, 5.603 and 10.959 Å and the angles 90.00°, 90.00° and 90.00°. The inequivalent atoms are Dy at (0.000, 0.000, 0.000), Ir at (0.000, 0.000, 0.265) and N at (0.000, 0.000, 0.645).


No. 10
Entry from Alexandria via LeMat-Bulk: an optimized crystal structure of PrDy2IrN4 (PBE).

For the energy relative to the elements, uncorrected, the calculation gives -0.9272 eV/atom. The calculation puts the energy at -7.9455 eV/atom.

The structure belongs to space group Cmcm (No. 63); the cell edges are 3.435, 11.842 and 11.617 Å and the angles 90.00°, 90.00° and 90.00°. The inequivalent atoms are Pr at (0.000, 0.115, 0.250), Dy at (0.000, 0.370, 0.043), Ir at (0.000, 0.146, 0.750), N at (0.000, 0.000, 0.000), N at (0.000, 0.270, 0.627) and N at (0.000, 0.449, 0.250).


No. 11
Entry from Alexandria via LeMat-Bulk: an optimized crystal structure of DyTh2IrN4 (PBE).

For the energy relative to the elements, uncorrected, the calculation gives -1.0270 eV/atom. The calculation puts the energy at -8.7275 eV/atom.

The structure belongs to space group Cmcm (No. 63); the cell edges are 3.419, 12.050 and 12.114 Å and the angles 90.00°, 90.00° and 90.00°. The inequivalent atoms are Dy at (0.000, 0.114, 0.250), Th at (0.000, 0.370, 0.055), Ir at (0.000, 0.151, 0.750), N at (0.000, 0.000, 0.000), N at (0.000, 0.281, 0.628) and N at (0.000, 0.461, 0.250).


No. 12
Entry from Alexandria via LeMat-Bulk: an optimized crystal structure of NaDy2Ir (PBE).

Its formation energy is -0.3250 eV per atom. For the energy above the lowest structure with this stoichiometry, the calculation gives 0.0594 eV per atom. The calculation puts the energy at -5.1710 eV/atom.

The structure belongs to space group R-3m (No. 166, hexagonal axes); the cell edges are 4.0338, 4.0338 and 31.0038 Å and the angles 90.00°, 90.00° and 120.00°. The inequivalent atoms are Na at (0.0000, 0.0000, 0.0000), Dy at (0.0000, 0.0000, 0.1202) and Ir at (0.0000, 0.0000, 0.5000).


Q: Look up the energy of the fifth one.
A: -8.0224 eV/atom